(1)
VASP calculation (PBEsol) on ScSb2As after structural relaxation.

The space group is Imm2 (No. 44) and the conventional cell measures 3.691, 4.689 and 10.308 Å, with angles of 90.00, 90.00 and 90.00 degrees. The distinct sites, in fractional coordinates, are Sc at (0.000, 0.000, 0.000), Sb at (0.000, 0.000, 0.468), Sb at (0.000, 0.500, 0.225) and As at (0.000, 0.500, 0.712).

Its calculated density is 6.77 g/cm³. As for the energy relative to the elements, uncorrected: -0.3360 eV/atom.

=====

(2)
VASP calculation (PBEsol) on ScSb2As after structural relaxation.

The space group is R3m (No. 160, hexagonal axes) and the conventional cell measures 3.3378, 3.3378 and 28.6860 Å, with angles of 90.00, 90.00 and 120.00 degrees. The distinct sites, in fractional coordinates, are Sc at (0.0000, 0.0000, 0.0000), Sb at (0.0000, 0.0000, 0.2525), Sb at (0.0000, 0.0000, 0.4828) and As at (0.0000, 0.0000, 0.7348).

Its calculated density is 6.54 g/cm³. As for the energy relative to the elements, uncorrected: -0.1694 eV/atom.

=====

(3)
VASP calculation (PBEsol) on ScSbAs2 after structural relaxation.

The space group is I-4m2 (No. 119) and the conventional cell measures 4.014, 4.014 and 10.169 Å, with angles of 90.00, 90.00 and 90.00 degrees. The distinct sites, in fractional coordinates, are Sc at (0.000, 0.000, 0.000), Sb at (0.000, 0.500, 0.750), As at (0.000, 0.000, 0.500) and As at (0.000, 0.500, 0.250).

Its calculated density is 6.42 g/cm³. As for the energy relative to the elements, uncorrected: -0.4022 eV/atom.

=====

(4)
VASP calculation (PBEsol) on SbAsSe after structural relaxation.

The space group is F-43m (No. 216) and the conventional cell measures 6.689, 6.689 and 6.689 Å, with angles of 90.00, 90.00 and 90.00 degrees. The distinct sites, in fractional coordinates, are Sb at (0.000, 0.000, 0.000), As at (0.000, 0.000, 0.500) and Se at (0.250, 0.250, 0.250).

Its calculated density is 6.12 g/cm³. As for the distance to the lowest polymorph of the same formula: 321 meV per atom. As for the energy relative to the elements, uncorrected: 0.5129 eV/atom.

=====

Record order is preserved below.
DOS at the Fermi energy: 4.864; 10.881; 4.451; 9.818 states/eV per cell